1.
{
  "formula": "PaCo2NiH8",
  "functional": "PBE",
  "state": "optimized geometry",
  "cell": [[4.4912, 0.0000, 0.0000], [-2.2456, 3.8895, 0.0000], [0.0000, 0.0000, 5.8476]],
  "species": ["Pa", "Co", "Co", "Ni", "H", "H", "H", "H", "H", "H", "H", "H"],
  "fractional_positions": [[0.0000, 0.0000, 0.0000], [0.3333, 0.6667, 0.1456], [0.6667, 0.3333, 0.8544], [0.0000, 0.0000, 0.5000], [0.1677, 0.3353, 0.3310], [0.1677, 0.8323, 0.3310], [0.3333, 0.6667, 0.8804], [0.3353, 0.1677, 0.6690], [0.6647, 0.8323, 0.3310], [0.6667, 0.3333, 0.1196], [0.8323, 0.1677, 0.6690], [0.8323, 0.6647, 0.6690]],
  "space_group": "No. 164",
  "magnetic_moment_mub_per_cell": 0.72,
  "total_energy_ha_per_atom": -0.1732
}

2.
{
  "formula": "Pu2Ga13",
  "functional": "PBE",
  "state": "optimized geometry",
  "cell": [[2.9858, 1.7238, 9.6554], [-2.9858, 1.7238, 9.6554], [0.0000, -3.4477, 9.6554]],
  "species": ["Pu", "Pu", "Ga", "Ga", "Ga", "Ga", "Ga", "Ga", "Ga", "Ga", "Ga", "Ga", "Ga", "Ga", "Ga"],
  "fractional_positions": [[0.2038, 0.2038, 0.2038], [0.7962, 0.7962, 0.7962], [0.0000, 0.0000, 0.0000], [0.0323, 0.5496, 0.5496], [0.2129, 0.7165, 0.7165], [0.2835, 0.2835, 0.7871], [0.2835, 0.7871, 0.2835], [0.4504, 0.4504, 0.9677], [0.4504, 0.9677, 0.4504], [0.5496, 0.0323, 0.5496], [0.5496, 0.5496, 0.0323], [0.7165, 0.2129, 0.7165], [0.7165, 0.7165, 0.2129], [0.7871, 0.2835, 0.2835], [0.9677, 0.4504, 0.4504]],
  "space_group": "No. 166",
  "magnetic_moment_mub_per_cell": 10.48,
  "formation_enthalpy_0k_mev_per_atom": -163,
  "total_energy_ha_per_atom": -0.1726
}

3.
{
  "formula": "La5CePb6",
  "functional": "PBE",
  "state": "optimized geometry",
  "cell": [[4.6084, -9.0613, 0.0000], [4.6084, 9.0613, 0.0000], [-3.9435, 0.0000, 4.5716]],
  "species": ["La", "La", "La", "La", "La", "Ce", "Pb", "Pb", "Pb", "Pb", "Pb", "Pb"],
  "fractional_positions": [[0.0000, 0.0000, 0.0000], [0.1646, 0.8354, 0.5000], [0.3292, 0.6708, 0.0000], [0.6708, 0.3292, 0.0000], [0.8354, 0.1646, 0.5000], [0.5000, 0.5000, 0.5000], [0.0909, 0.4211, 0.2561], [0.2614, 0.2614, 0.7614], [0.4211, 0.0909, 0.2561], [0.5789, 0.9091, 0.7439], [0.7386, 0.7386, 0.2386], [0.9091, 0.5789, 0.7439]],
  "space_group": "No. 12",
  "magnetic_moment_mub_per_cell": 2.98,
  "formation_enthalpy_0k_mev_per_atom": -537,
  "total_energy_ha_per_atom": -0.1815,
  "de_polymorph_mev_per_atom": 18
}

4.
{
  "formula": "KAgCl3",
  "functional": "PBE",
  "state": "optimized geometry",
  "cell": [[2.5316, -8.8820, 0.0000], [2.5316, 8.8820, 0.0000], [0.0000, 0.0000, 6.4422]],
  "species": ["K", "K", "Ag", "Ag", "Cl", "Cl", "Cl", "Cl", "Cl", "Cl"],
  "fractional_positions": [[0.1558, 0.8442, 0.7500], [0.8442, 0.1558, 0.2500], [0.4605, 0.5395, 0.7500], [0.5395, 0.4605, 0.2500], [0.0000, 0.0000, 0.0000], [0.0000, 0.0000, 0.5000], [0.0684, 0.4272, 0.7500], [0.4272, 0.0684, 0.2500], [0.5728, 0.9316, 0.7500], [0.9316, 0.5728, 0.2500]],
  "space_group": "No. 63",
  "magnetic_moment_mub_per_cell": 0.00,
  "total_energy_ha_per_atom": -0.0968,
  "raw_formation_energy_kj_per_mol_fu": -356
}

5.
{
  "formula": "AgOsNF2",
  "functional": "PBE",
  "state": "optimized geometry",
  "cell": [[4.3121, 0.0000, 0.0000], [0.0000, 4.3121, 0.0000], [0.0000, 0.0000, 3.7480]],
  "species": ["Ag", "Os", "N", "F", "F"],
  "fractional_positions": [[0.0000, 0.0000, 0.0000], [0.5000, 0.5000, 0.5000], [0.5000, 0.5000, 0.0000], [0.0000, 0.5000, 0.5000], [0.5000, 0.0000, 0.5000]],
  "space_group": "No. 123",
  "magnetic_moment_mub_per_cell": 0.54,
  "total_energy_ha_per_atom": -0.2004,
  "raw_formation_energy_kj_per_mol_fu": -108,
  "de_polymorph_mev_per_atom": 0
}

6.
{
  "formula": "Nb2PdPt3",
  "functional": "PBE",
  "state": "optimized geometry",
  "cell": [[7.0128, -2.5431, 0.0000], [7.0128, 2.5431, 0.0000], [0.0000, 0.0000, 5.6069]],
  "species": ["Nb", "Nb", "Nb", "Nb", "Pd", "Pd", "Pt", "Pt", "Pt", "Pt", "Pt", "Pt"],
  "fractional_positions": [[0.1431, 0.1431, 0.0000], [0.1431, 0.1431, 0.5000], [0.8569, 0.8569, 0.0000], [0.8569, 0.8569, 0.5000], [0.2638, 0.7362, 0.7500], [0.7362, 0.2638, 0.2500], [0.2481, 0.7519, 0.2500], [0.3104, 0.3116, 0.7500], [0.3116, 0.3104, 0.2500], [0.6884, 0.6896, 0.7500], [0.6896, 0.6884, 0.2500], [0.7519, 0.2481, 0.7500]],
  "space_group": "No. 63",
  "magnetic_moment_mub_per_cell": 0.00,
  "formation_enthalpy_0k_mev_per_atom": -524,
  "total_energy_ha_per_atom": -0.2854,
  "de_polymorph_mev_per_atom": 0
}

7.
{
  "formula": "CePmGdPu",
  "functional": "PBE",
  "state": "optimized geometry",
  "cell": [[7.9209, 0.0000, 0.0000], [0.0000, 7.9209, 0.0000], [0.0000, 0.0000, 7.9209]],
  "species": ["Ce", "Ce", "Ce", "Ce", "Pm", "Pm", "Pm", "Pm", "Gd", "Gd", "Gd", "Gd", "Pu", "Pu", "Pu", "Pu"],
  "fractional_positions": [[0.0000, 0.0000, 0.0000], [0.0000, 0.5000, 0.5000], [0.5000, 0.0000, 0.5000], [0.5000, 0.5000, 0.0000], [0.2500, 0.2500, 0.2500], [0.2500, 0.7500, 0.7500], [0.7500, 0.2500, 0.7500], [0.7500, 0.7500, 0.2500], [0.0000, 0.0000, 0.5000], [0.0000, 0.5000, 0.0000], [0.5000, 0.0000, 0.0000], [0.5000, 0.5000, 0.5000], [0.2500, 0.2500, 0.7500], [0.2500, 0.7500, 0.2500], [0.7500, 0.2500, 0.2500], [0.7500, 0.7500, 0.7500]],
  "space_group": "No. 216",
  "magnetic_moment_mub_per_cell": 62.62,
  "formation_enthalpy_0k_mev_per_atom": 204,
  "total_energy_ha_per_atom": -0.3517
}

8.
{
  "formula": "Tm4OsRu3",
  "functional": "PBE",
  "state": "optimized geometry",
  "cell": [[3.3547, 0.0000, 0.0000], [0.0000, 3.3547, 0.0000], [0.0000, 0.0000, 13.4352]],
  "species": ["Tm", "Tm", "Tm", "Tm", "Os", "Ru", "Ru", "Ru"],
  "fractional_positions": [[0.0000, 0.0000, 0.1255], [0.0000, 0.0000, 0.3754], [0.0000, 0.0000, 0.6246], [0.0000, 0.0000, 0.8745], [0.5000, 0.5000, 0.0000], [0.5000, 0.5000, 0.2513], [0.5000, 0.5000, 0.5000], [0.5000, 0.5000, 0.7487]],
  "space_group": "No. 123",
  "magnetic_moment_mub_per_cell": 0.00,
  "formation_enthalpy_0k_mev_per_atom": -352,
  "total_energy_ha_per_atom": -0.2745
}

9.
{
  "formula": "PuCdHgH",
  "functional": "PBE",
  "state": "optimized geometry",
  "cell": [[4.2847, 0.0000, 0.0000], [0.0000, 4.2847, 0.0000], [0.0000, 0.0000, 8.5790]],
  "species": ["Pu", "Pu", "Cd", "Cd", "Hg", "Hg", "H", "H"],
  "fractional_positions": [[0.2500, 0.2500, 0.1169], [0.7500, 0.7500, 0.8831], [0.2500, 0.7500, 0.5000], [0.7500, 0.2500, 0.5000], [0.2500, 0.2500, 0.7401], [0.7500, 0.7500, 0.2599], [0.2500, 0.7500, 0.0000], [0.7500, 0.2500, 0.0000]],
  "space_group": "No. 129",
  "magnetic_moment_mub_per_cell": 11.30,
  "total_energy_ha_per_atom": -0.1810
}

10.
{
  "formula": "Nd2YTl2",
  "functional": "PBE",
  "state": "optimized geometry",
  "cell": [[8.2498, 0.0000, 0.0000], [0.0000, 8.2498, 0.0000], [0.0000, 0.0000, 4.6013]],
  "species": ["Nd", "Nd", "Nd", "Nd", "Y", "Y", "Tl", "Tl", "Tl", "Tl"],
  "fractional_positions": [[0.1710, 0.3290, 0.0000], [0.3290, 0.8290, 0.0000], [0.6710, 0.1710, 0.0000], [0.8290, 0.6710, 0.0000], [0.0000, 0.0000, 0.5000], [0.5000, 0.5000, 0.5000], [0.1309, 0.6309, 0.5000], [0.3691, 0.1309, 0.5000], [0.6309, 0.8691, 0.5000], [0.8691, 0.3691, 0.5000]],
  "space_group": "No. 127",
  "magnetic_moment_mub_per_cell": 0.00,
  "formation_enthalpy_0k_mev_per_atom": -329,
  "total_energy_ha_per_atom": -0.1645,
  "de_polymorph_mev_per_atom": 0
}

11.
{
  "formula": "Mg6SiMo",
  "functional": "PBE",
  "state": "optimized geometry",
  "cell": [[4.9821, 0.0000, 0.0000], [0.0000, 5.6711, 0.0000], [0.0000, 0.0000, 10.7695]],
  "species": ["Mg", "Mg", "Mg", "Mg", "Mg", "Mg", "Mg", "Mg", "Mg", "Mg", "Mg", "Mg", "Si", "Si", "Mo", "Mo"],
  "fractional_positions": [[0.0000, 0.0000, 0.0000], [0.0000, 0.0000, 0.4979], [0.0000, 0.2420, 0.7574], [0.0000, 0.2580, 0.2574], [0.0000, 0.5000, 0.5000], [0.0000, 0.5000, 0.9979], [0.0000, 0.7420, 0.2574], [0.0000, 0.7580, 0.7574], [0.5000, 0.2494, 0.1015], [0.5000, 0.2506, 0.6015], [0.5000, 0.7494, 0.6015], [0.5000, 0.7506, 0.1015], [0.5000, 0.0000, 0.3479], [0.5000, 0.5000, 0.8479], [0.5000, 0.0000, 0.8538], [0.5000, 0.5000, 0.3538]],
  "space_group": "No. 38",
  "magnetic_moment_mub_per_cell": 0.00,
  "total_energy_ha_per_atom": -0.1116,
  "raw_formation_energy_kj_per_mol_fu": 148,
  "de_polymorph_mev_per_atom": 35
}

12.
{
  "formula": "Ca4PrTl15",
  "functional": "PBE",
  "state": "optimized geometry",
  "cell": [[4.8563, 0.0000, 0.0000], [0.0000, 4.8563, 0.0000], [0.0000, 0.0000, 24.3695]],
  "species": ["Ca", "Ca", "Ca", "Ca", "Pr", "Tl", "Tl", "Tl", "Tl", "Tl", "Tl", "Tl", "Tl", "Tl", "Tl", "Tl", "Tl", "Tl", "Tl", "Tl"],
  "fractional_positions": [[0.0000, 0.0000, 0.1008], [0.0000, 0.0000, 0.3018], [0.0000, 0.0000, 0.6982], [0.0000, 0.0000, 0.8992], [0.0000, 0.0000, 0.5000], [0.0000, 0.5000, 0.0000], [0.0000, 0.5000, 0.2005], [0.0000, 0.5000, 0.3998], [0.0000, 0.5000, 0.6002], [0.0000, 0.5000, 0.7995], [0.5000, 0.0000, 0.0000], [0.5000, 0.0000, 0.2005], [0.5000, 0.0000, 0.3998], [0.5000, 0.0000, 0.6002], [0.5000, 0.0000, 0.7995], [0.5000, 0.5000, 0.1006], [0.5000, 0.5000, 0.2996], [0.5000, 0.5000, 0.5000], [0.5000, 0.5000, 0.7004], [0.5000, 0.5000, 0.8994]],
  "space_group": "No. 123",
  "magnetic_moment_mub_per_cell": 0.00,
  "formation_enthalpy_0k_mev_per_atom": -256,
  "total_energy_ha_per_atom": -0.0981
}

Repeat the twelfth record exactly.
{
  "formula": "Ca4PrTl15",
  "functional": "PBE",
  "state": "optimized geometry",
  "cell": [[4.8563, 0.0000, 0.0000], [0.0000, 4.8563, 0.0000], [0.0000, 0.0000, 24.3695]],
  "species": ["Ca", "Ca", "Ca", "Ca", "Pr", "Tl", "Tl", "Tl", "Tl", "Tl", "Tl", "Tl", "Tl", "Tl", "Tl", "Tl", "Tl", "Tl", "Tl", "Tl"],
  "fractional_positions": [[0.0000, 0.0000, 0.1008], [0.0000, 0.0000, 0.3018], [0.0000, 0.0000, 0.6982], [0.0000, 0.0000, 0.8992], [0.0000, 0.0000, 0.5000], [0.0000, 0.5000, 0.0000], [0.0000, 0.5000, 0.2005], [0.0000, 0.5000, 0.3998], [0.0000, 0.5000, 0.6002], [0.0000, 0.5000, 0.7995], [0.5000, 0.0000, 0.0000], [0.5000, 0.0000, 0.2005], [0.5000, 0.0000, 0.3998], [0.5000, 0.0000, 0.6002], [0.5000, 0.0000, 0.7995], [0.5000, 0.5000, 0.1006], [0.5000, 0.5000, 0.2996], [0.5000, 0.5000, 0.5000], [0.5000, 0.5000, 0.7004], [0.5000, 0.5000, 0.8994]],
  "space_group": "No. 123",
  "magnetic_moment_mub_per_cell": 0.00,
  "formation_enthalpy_0k_mev_per_atom": -256,
  "total_energy_ha_per_atom": -0.0981
}